Entry 1
Material: TbNdPdPt
Method: DFT, GGA-PBE
State: relaxed

abc: 5.044 5.044 5.044
angles: 60.00 60.00 60.00
Fractional positions:
Tb  0.000  0.000  0.000
Nd  0.500  0.500  0.500
Pd  0.750  0.750  0.750
Pt  0.250  0.250  0.250

Results
Symmetry ... No. 216

Entry 2
Material: TbNdPdPt
Method: DFT, GGA-PBE
State: relaxed

abc: 4.542 5.719 5.719
angles: 39.32 90.00 90.00
Fractional positions:
Tb  0.000  0.000  0.000
Nd  0.500  0.274  0.274
Pd  0.000  0.721  0.721
Pt  0.500  0.548  0.548

Results
Symmetry ... No. 38

Most favorable structure: entry 2. The second most favorable one is 74 meV/atom above it.

Entry 1
Material: Nd6Pd5Rh
Method: DFT, GGA-PBE
State: relaxed

abc: 7.270 7.270 7.261
angles: 99.60 99.60 120.17
Fractional positions:
Nd  0.080  0.405  0.743
Nd  0.241  0.241  0.250
Nd  0.405  0.080  0.743
Nd  0.595  0.920  0.257
Nd  0.759  0.759  0.750
Nd  0.920  0.595  0.257
Pd  0.172  0.828  0.000
Pd  0.335  0.665  0.500
Pd  0.500  0.500  0.000
Pd  0.665  0.335  0.500
Pd  0.828  0.172  0.000
Rh  0.000  0.000  0.500

Results
Symmetry ... No. 12

Entry 2
Material: Nd6Pd5Rh
Method: DFT, GGA-PBE
State: relaxed

abc: 8.853 8.853 5.138
angles: 106.66 106.66 47.46
Fractional positions:
Nd  0.084  0.589  0.336
Nd  0.245  0.755  0.000
Nd  0.411  0.916  0.664
Nd  0.589  0.084  0.336
Nd  0.755  0.245  0.000
Nd  0.916  0.411  0.664
Pd  0.170  0.170  0.170
Pd  0.333  0.333  0.833
Pd  0.500  0.500  0.500
Pd  0.667  0.667  0.167
Pd  0.830  0.830  0.830
Rh  0.000  0.000  0.500

Results
Symmetry ... No. 12

Most favorable structure: entry 2. The second most favorable one is 71 meV/atom above it.